The following is a PBE calculation of LiSbTe after structural relaxation, from Alexandria via LeMat-Bulk.

Output
- Magnetization: 0.00 μB/f.u.
- Formation energy (no corrections): -23.01 kJ/mol of atoms

The structure in CIF format:
```
data_LiSbTe
_cell_length_a 6.769
_cell_length_b 6.769
_cell_length_c 6.769
_cell_angle_alpha 90.00
_cell_angle_beta 90.00
_cell_angle_gamma 90.00
_symmetry_space_group_name_H-M 'F -4 3 m'
_symmetry_Int_Tables_number 216
_symmetry_space_group_name_Hall 'F -4 2 3'
loop_
_atom_site_label
_atom_site_fract_x
_atom_site_fract_y
_atom_site_fract_z
Li1 0.000 0.000 0.000
Sb1 0.250 0.250 0.250
Te1 0.250 0.250 0.750
```